The following is a PBE calculation of an optimized crystal structure of Pr5Dy3Se8, from Alexandria via LeMat-Bulk.

Computed properties:
Its density of states at the Fermi level is 9.59 states/eV/f.u. For the calculated density, the calculation gives 7.2 g cm⁻³. For the raw total energy, the calculation gives -94.450 eV/cell. As for the space group: R-3m, No. 166. The calculation puts the energy relative to the elements, uncorrected at -1804.4 meV/atom.

Structure (POSCAR):
```
Pr5Dy3Se8
1.0
7.230 0.000 4.142
2.429 6.810 4.142
-0.043 -0.030 8.457
Pr Se Dy
5 8 3
Cartesian
4.830 3.405 4.142 Pr
4.808 3.390 8.370 Pr
0.000 0.000 0.000 Pr
1.215 3.405 2.071 Pr
3.615 0.000 2.071 Pr
5.988 1.610 6.311 Se
7.272 5.127 12.452 Se
3.629 5.170 10.429 Se
3.528 5.099 6.311 Se
2.345 1.653 4.289 Se
6.088 1.681 10.429 Se
2.384 1.681 8.308 Se
7.232 5.099 8.433 Se
3.594 -0.015 6.299 Dy
1.193 3.390 6.299 Dy
-0.021 -0.015 4.229 Dy
```



The following is a PBE calculation of an optimized crystal structure of MnTl2Rh, from Alexandria via LeMat-Bulk.

Computed properties:
The energy above the most stable polymorph in this dataset comes out at 0.1652 eV/atom. Its density of states at the Fermi level is 3.04 states/eV/f.u. For the calculated density, the calculation gives 12.4 g cm⁻³. For the raw total energy, the calculation gives -19.898 eV/cell. As for the space group: Cmmm, No. 65. Its formation energy is 0.34 eV/atom.

Structure (POSCAR):
```
MnTl2Rh
1.0
4.507 0.790 -0.637
-0.883 4.489 -0.637
0.394 0.574 3.489
Mn Tl Rh
1 2 1
Cartesian
2.450 0.682 1.426 Mn
1.812 2.640 -0.637 Tl
0.000 0.000 0.000 Tl
-0.244 2.532 1.426 Rh
```